# 1
Material: LiDyPaFe
Method: DFT, PBE-GGA
State: optimized geometry

The space group is F-43m (No. 216) and the conventional cell measures 6.784, 6.784 and 6.784 Å, with angles of 90.00, 90.00 and 90.00 degrees. The inequivalent atoms are Li at (0.000, 0.000, 0.000), Dy at (0.250, 0.250, 0.750), Pa at (0.250, 0.250, 0.250) and Fe at (0.000, 0.000, 0.500).

The value obtained for the total energy is -5.907 eV/atom. For the mass density, the calculation gives 9.71 g/cm³.

# 2
Material: SrMgSb2Te
Method: DFT, PBE-GGA
State: optimized geometry

The space group is P4/mmm (No. 123) and the conventional cell measures 6.034, 6.034 and 6.009 Å, with angles of 90.00, 90.00 and 90.00 degrees. The inequivalent atoms are Sr at (0.000, 0.000, 0.000), Mg at (0.500, 0.500, 0.500), Sb at (0.000, 0.500, 0.000) and Te at (0.000, 0.000, 0.500).

The energy relative to the elements, uncorrected is 0.54 eV/atom. The calculation puts the relative energy among the computed polymorphs at 771 meV/atom. The value obtained for the total energy is -2.395 eV/atom. For the mass density, the calculation gives 3.67 g/cm³.